Entry 1:
{"formula": "Pr9Tl3N2", "functional": "PBE-GGA", "state": "relaxed", "formation_energy_uncorrected_ev_per_atom": -0.594, "vol_a3_per_cell": 398, "final_energy_ev_per_cell": -75.079, "lattice": [[7.212, 0.000, 0.000], [-3.606, 6.246, 0.000], [0.000, 0.000, 8.834]], "species": ["N", "Pr", "Pr", "Pr", "Tl", "Pr", "Pr", "Pr", "Pr", "Tl", "Pr", "Tl", "Pr", "N"], "frac_coords": [[0.667, 0.333, 0.170], [0.170, 0.830, 0.672], [0.830, 0.659, 0.328], [0.341, 0.170, 0.328], [0.000, 0.000, 0.000], [0.170, 0.341, 0.672], [0.830, 0.170, 0.328], [0.659, 0.830, 0.672], [0.500, 0.500, 0.000], [0.667, 0.333, 0.667], [0.000, 0.500, 0.000], [0.333, 0.667, 0.333], [0.500, 0.000, 0.000], [0.333, 0.667, 0.830]]}

---

Entry 2:
{"formula": "PrY2TlN", "functional": "PBE-GGA", "state": "relaxed", "formation_energy_uncorrected_ev_per_atom": -0.884, "vol_a3_per_cell": 119, "final_energy_ev_per_cell": -32.819, "lattice": [[-1.077, -4.717, 1.516], [3.798, -1.676, -2.514], [2.840, 0.601, 3.889]], "species": ["Y", "Y", "N", "Tl", "Pr"], "frac_coords": [[0.000, 0.000, 0.500], [0.000, 0.500, 0.000], [0.000, 0.000, 0.000], [0.500, 0.500, 0.500], [0.500, 0.000, 0.000]]}

---

Entry 3:
{"formula": "PrTm2N", "functional": "PBE-GGA", "state": "relaxed", "formation_energy_uncorrected_ev_per_atom": -0.737, "e_above_lowest_polymorph_mev_per_atom": 0, "vol_a3_per_cell": 96, "final_energy_ev_per_cell": -24.995, "lattice": [[-0.189, -3.360, -0.548], [2.770, -1.724, -0.990], [3.121, -3.312, 8.626]], "species": ["N", "Tm", "Tm", "Pr"], "frac_coords": [[0.500, 0.500, 0.500], [0.121, 0.121, 0.638], [0.879, 0.879, 0.362], [0.000, 0.000, 0.000]]}

---

Entry 4:
{"formula": "PrTm2N", "functional": "PBE-GGA", "state": "relaxed", "formation_energy_uncorrected_ev_per_atom": -0.190, "e_above_lowest_polymorph_mev_per_atom": 547, "vol_a3_per_cell": 88, "final_energy_ev_per_cell": -22.808, "lattice": [[-0.094, 2.915, 1.183], [-0.628, -1.177, 2.851], [8.712, -0.426, 1.744]], "species": ["Tm", "Tm", "Pr", "N"], "frac_coords": [[0.000, 0.000, 0.843], [0.000, 0.000, 0.157], [0.500, 0.500, 0.500], [0.500, 0.500, 0.000]]}

---

Entry 5:
{"formula": "PrTm3N", "functional": "PBE-GGA", "state": "relaxed", "formation_energy_uncorrected_ev_per_atom": -0.507, "vol_a3_per_cell": 119, "final_energy_ev_per_cell": -29.057, "lattice": [[-2.142, 3.156, 3.108], [0.963, -3.038, 3.748], [4.323, 2.240, 0.705]], "species": ["Pr", "Tm", "Tm", "Tm", "N"], "frac_coords": [[0.500, 0.500, 0.500], [0.000, 0.500, 0.000], [0.500, 0.000, 0.000], [0.000, 0.000, 0.500], [0.000, 0.000, 0.000]]}

---

Entry 6:
{"formula": "PrTmN", "functional": "PBE-GGA", "state": "relaxed", "formation_energy_uncorrected_ev_per_atom": -0.950, "e_above_lowest_polymorph_mev_per_atom": 0, "vol_a3_per_cell": 68, "final_energy_ev_per_cell": -20.426, "lattice": [[3.520, 0.000, 0.000], [-1.760, 3.048, 0.000], [0.000, 0.000, 6.317]], "species": ["Pr", "N", "Tm"], "frac_coords": [[0.000, 0.000, 0.100], [0.667, 0.333, 0.363], [0.333, 0.667, 0.537]]}

---

Entry 7:
{"formula": "PrTmN", "functional": "PBE-GGA", "state": "relaxed", "formation_energy_uncorrected_ev_per_atom": -0.730, "e_above_lowest_polymorph_mev_per_atom": 219, "vol_a3_per_cell": 74, "final_energy_ev_per_cell": -19.768, "lattice": [[-0.253, -0.736, -3.184], [0.007, -3.194, 0.738], [-6.776, 2.071, 1.746]], "species": ["Pr", "Tm", "N"], "frac_coords": [[0.325, 0.325, 0.649], [0.028, 0.028, 0.057], [0.497, 0.497, 0.994]]}

---

Entry 8:
{"formula": "Pr2TmN", "functional": "PBE-GGA", "state": "relaxed", "formation_energy_uncorrected_ev_per_atom": -0.486, "vol_a3_per_cell": 109, "final_energy_ev_per_cell": -24.301, "lattice": [[-3.352, -1.275, 0.271], [-1.350, -2.078, -2.607], [1.801, -9.008, 3.767]], "species": ["Pr", "Tm", "N", "Pr"], "frac_coords": [[0.882, 0.882, 0.355], [0.000, 0.000, 0.000], [0.500, 0.500, 0.500], [0.118, 0.118, 0.645]]}